Entry from Alexandria: a geometry-optimized Ca2CoIF structure (PBE with a Hubbard U).

a = 5.9353 Å, b = 4.4218 Å, c = 5.9353 Å
α = 90.00°, β = 90.00°, γ = 90.00°
Last column: nearest neighbours and their distance in Å.
Fractional positions:
Co1 0.0000 0.5000 0.0000  2 I 2.21
F1 0.5000 0.5000 0.5000  8 Ca 3.70
Ca1 0.0000 0.0000 0.5000  2 I 2.97
Ca2 0.5000 0.0000 0.0000  2 I 2.97
I1 0.0000 0.0000 0.0000  2 Co 2.21

Results
The value obtained for the total DFT energy (no corrections) is -2.542 eV per atom. As for the space group: No. 123. Its total magnetization is 0.0000 μB per atom. Its density of states at the Fermi level is 0.823 states/eV/atom. For the density, the calculation gives 3.04 g/cm3.